Version a
An optimized crystal structure of CsScGeSe. Source: Alexandria via LeMat-Bulk, functional PBE.

Structure (POSCAR):
```
CsScGeSe
1.0
4.069 0.000 0.000
0.000 3.901 0.000
-0.037 0.000 7.716
Cs Sc Ge Se
1 1 1 1
direct
0.000 0.000 0.000
0.681 0.000 0.517
0.194 0.500 0.594
0.491 0.500 0.292
```

Summary:
space group	Pm (6)
density of states at the Fermi level	0.2183	states/eV/atom

Version b
An optimized crystal structure of CsScGeSe. Source: Alexandria via LeMat-Bulk, functional PBE.

Structure (POSCAR):
```
CsScGeSe
1.0
3.136 -2.486 0.000
3.136 2.486 0.000
-2.155 0.000 7.833
Cs Sc Ge Se
1 1 1 1
direct
0.000 0.000 0.000
0.048 0.048 0.495
0.548 0.548 0.359
0.472 0.472 0.671
```

Summary:
space group	Cm (8)
density of states at the Fermi level	0.3672	states/eV/atom

Question: which arrangement is favored energetically? Ranking from most to least stable: version a, version b.

Version a
An optimized crystal structure of CsScGeSe. Source: Alexandria via LeMat-Bulk, functional PBE.

Structure (POSCAR):
```
CsScGeSe
1.0
5.097 0.000 0.000
1.555 4.987 0.000
0.885 0.116 6.001
Cs Sc Ge Se
1 1 1 1
direct
0.000 0.000 0.000
0.608 0.519 0.531
0.155 0.455 0.413
0.555 0.029 0.550
```

Summary:
space group	P1 (1)
density of states at the Fermi level	0.0362	states/eV/atom

Version b
An optimized crystal structure of CsScGeSe. Source: Alexandria via LeMat-Bulk, functional PBE.

Structure (POSCAR):
```
CsScGeSe
1.0
3.302 -1.911 0.000
3.302 1.911 0.000
-0.008 0.000 9.348
Cs Sc Ge Se
1 1 1 1
direct
0.000 0.000 0.000
0.000 0.000 0.535
0.666 0.666 0.316
0.334 0.334 0.697
```

Summary:
space group	Cm (8)
density of states at the Fermi level	0.2721	states/eV/atom

Question: which arrangement is favored energetically? Ranking from most to least stable: version b, version a.

Version a
An optimized crystal structure of CsScGeSe. Source: Alexandria via LeMat-Bulk, functional PBE.

Structure (POSCAR):
```
CsScGeSe
1.0
3.488 0.000 0.000
0.000 1.830 9.018
0.000 -1.830 9.018
Cs Sc Ge Se
1 1 1 1
direct
0.000 0.000 0.000
0.000 0.774 0.774
0.500 0.650 0.650
0.500 0.340 0.340
```

Summary:
space group	Amm2 (38)
density of states at the Fermi level	0.2974	states/eV/atom

Version b
An optimized crystal structure of CsScGeSe. Source: Alexandria via LeMat-Bulk, functional PBE.

Structure (POSCAR):
```
CsScGeSe
1.0
3.757 -2.215 0.000
3.757 2.215 0.000
-2.107 0.000 7.843
Cs Sc Ge Se
1 1 1 1
direct
0.000 0.000 0.000
0.812 0.812 0.509
0.515 0.515 0.659
0.429 0.429 0.334
```

Summary:
space group	Cm (8)
density of states at the Fermi level	0.2863	states/eV/atom

Version c
An optimized crystal structure of CsScGeSe. Source: Alexandria via LeMat-Bulk, functional PBE.

Structure (POSCAR):
```
CsScGeSe
1.0
3.793 0.000 0.000
0.000 6.124 0.000
0.000 0.000 6.260
Cs Sc Ge Se
1 1 1 1
direct
0.000 0.000 0.000
0.000 0.500 0.495
0.500 0.500 0.790
0.500 0.500 0.198
```

Summary:
space group	Pmm2 (25)
density of states at the Fermi level	0.4003	states/eV/atom

Version d
An optimized crystal structure of CsScGeSe. Source: Alexandria via LeMat-Bulk, functional PBE.

Structure (POSCAR):
```
CsScGeSe
1.0
1.909 1.102 9.300
-1.909 1.102 9.300
0.000 -2.204 9.300
Cs Sc Ge Se
1 1 1 1
direct
0.000 0.000 0.000
0.156 0.156 0.156
0.562 0.562 0.562
0.768 0.768 0.768
```

Summary:
space group	R3m (160)
density of states at the Fermi level	0.2748	states/eV/atom

Question: which arrangement is favored energetically? Ranking from most to least stable: version d, version a, version b, version c.

Version a
An optimized crystal structure of CsGe3Se. Source: Alexandria via LeMat-Bulk, functional PBE.

Structure (POSCAR):
```
CsGe3Se
1.0
5.788 0.000 0.000
0.000 5.788 0.000
0.000 0.000 5.788
Cs Ge Se
1 3 1
direct
0.000 0.000 0.000
0.000 0.000 0.500
0.000 0.500 0.000
0.500 0.000 0.000
0.500 0.500 0.500
```

Summary:
space group	Pm-3m (221)
density of states at the Fermi level	2.1158	states/eV/atom

Version b
An optimized crystal structure of CsGe3Se. Source: Alexandria via LeMat-Bulk, functional PBE.

Structure (POSCAR):
```
CsGe3Se
1.0
5.414 0.000 0.000
0.000 5.414 0.000
0.000 0.000 5.414
Cs Ge Se
1 3 1
direct
0.000 0.000 0.000
0.000 0.500 0.500
0.500 0.000 0.500
0.500 0.500 0.000
0.500 0.500 0.500
```

Summary:
space group	Pm-3m (221)
density of states at the Fermi level	0.7361	states/eV/atom

Question: which arrangement is favored energetically? Ranking from most to least stable: version b, version a.

Version a
An optimized crystal structure of Cs2Ge2Se5. Source: Alexandria via LeMat-Bulk, functional PBE.

Structure (POSCAR):
```
Cs2Ge2Se5
1.0
11.698 -4.803 0.000
11.698 4.803 0.000
-1.290 0.000 6.560
Cs Ge Se
4 4 10
direct
0.071 0.464 0.187
0.132 0.868 0.500
0.464 0.071 0.687
0.868 0.132 0.000
0.302 0.573 0.940
0.508 0.748 0.005
0.573 0.302 0.440
0.748 0.508 0.505
0.052 0.727 0.987
0.305 0.766 0.033
0.325 0.489 0.576
0.403 0.982 0.139
0.489 0.325 0.076
0.518 0.746 0.640
0.727 0.052 0.487
0.746 0.518 0.140
0.766 0.305 0.533
0.982 0.403 0.639
```

Summary:
space group	Cc (9)

Version b
An optimized crystal structure of Cs2Ge2Se5. Source: Alexandria via LeMat-Bulk, functional PBE.

Structure (POSCAR):
```
Cs2Ge2Se5
1.0
6.671 -2.507 0.000
6.671 2.507 0.000
-2.437 0.000 9.423
Cs Ge Se
2 2 5
direct
0.091 0.091 0.341
0.909 0.909 0.659
0.337 0.337 0.109
0.663 0.663 0.891
0.145 0.145 0.981
0.379 0.379 0.354
0.500 0.500 0.000
0.621 0.621 0.646
0.855 0.855 0.019
```

Summary:
space group	C2/m (12)
density of states at the Fermi level	0.3179	states/eV/atom

Question: which arrangement is favored energetically? Ranking from most to least stable: version a, version b.

Version a
An optimized crystal structure of CsSiGe3. Source: Alexandria via LeMat-Bulk, functional PBE.

Structure (POSCAR):
```
CsSiGe3
1.0
9.158 0.000 0.000
0.000 6.424 0.000
-3.376 0.000 10.279
Cs Si Ge
4 4 12
direct
0.118 0.250 0.151
0.118 0.250 0.651
0.882 0.750 0.349
0.882 0.750 0.849
0.500 0.001 0.168
0.500 0.499 0.668
0.500 0.501 0.332
0.500 0.999 0.832
0.298 0.605 0.946
0.298 0.895 0.446
0.311 0.750 0.199
0.311 0.750 0.699
0.432 0.240 0.982
0.432 0.260 0.482
0.568 0.740 0.518
0.568 0.760 0.018
0.689 0.250 0.301
0.689 0.250 0.801
0.702 0.105 0.554
0.702 0.395 0.054
```

Summary:
space group	P2_1/c (14)
density of states at the Fermi level	0.4482	states/eV/atom

Version b
An optimized crystal structure of CsSiGe3. Source: Alexandria via LeMat-Bulk, functional PBE.

Structure (POSCAR):
```
CsSiGe3
1.0
5.133 0.000 0.000
0.000 5.133 0.000
0.000 0.000 5.133
Cs Si Ge
1 1 3
direct
0.000 0.000 0.000
0.500 0.500 0.500
0.000 0.500 0.500
0.500 0.000 0.500
0.500 0.500 0.000
```

Summary:
space group	Pm-3m (221)
density of states at the Fermi level	0.6541	states/eV/atom

Question: which arrangement is favored energetically? Ranking from most to least stable: version a, version b.

Version a
An optimized crystal structure of Cs2Sn2Ge. Source: Alexandria via LeMat-Bulk, functional PBE.

Structure (POSCAR):
```
Cs2Sn2Ge
1.0
11.457 0.000 0.000
0.000 11.457 0.000
0.000 0.000 3.347
Cs Sn Ge
4 4 2
direct
0.125 0.375 0.000
0.375 0.875 0.000
0.625 0.125 0.000
0.875 0.625 0.000
0.175 0.675 0.500
0.325 0.175 0.500
0.675 0.825 0.500
0.825 0.325 0.500
0.000 0.000 0.000
0.500 0.500 0.000
```

Summary:
space group	P4/mbm (127)
density of states at the Fermi level	0.9691	states/eV/atom

Version b
An optimized crystal structure of Cs2Sn2Ge. Source: Alexandria via LeMat-Bulk, functional PBE.

Structure (POSCAR):
```
Cs2Sn2Ge
1.0
6.780 -3.987 0.000
6.780 3.987 0.000
-1.567 0.000 7.911
Cs Sn Ge
4 4 2
direct
0.013 0.278 0.111
0.278 0.013 0.611
0.722 0.987 0.389
0.987 0.722 0.889
0.254 0.512 0.475
0.488 0.746 0.025
0.512 0.254 0.975
0.746 0.488 0.525
0.475 0.525 0.250
0.525 0.475 0.750
```

Summary:
space group	C2/c (15)
density of states at the Fermi level	0.8109	states/eV/atom

Version c
An optimized crystal structure of Cs2Sn2Ge. Source: Alexandria via LeMat-Bulk, functional PBE.

Structure (POSCAR):
```
Cs2Sn2Ge
1.0
7.627 0.000 0.000
0.000 7.627 0.000
0.000 0.000 6.535
Cs Sn Ge
4 4 2
direct
0.179 0.321 0.000
0.321 0.821 0.000
0.679 0.179 0.000
0.821 0.679 0.000
0.139 0.639 0.500
0.361 0.139 0.500
0.639 0.861 0.500
0.861 0.361 0.500
0.000 0.000 0.500
0.500 0.500 0.500
```

Summary:
space group	P4/mbm (127)
density of states at the Fermi level	0.1672	states/eV/atom

Question: which arrangement is favored energetically? Ranking from most to least stable: version b, version c, version a.

Version a
An optimized crystal structure of Cs3SnGe. Source: Alexandria via LeMat-Bulk, functional PBE.

Structure (POSCAR):
```
Cs3SnGe
1.0
6.491 -5.697 0.000
6.491 5.697 0.000
-6.177 0.000 7.070
Cs Sn Ge
6 2 2
direct
0.076 0.076 0.369
0.098 0.466 0.233
0.466 0.098 0.233
0.534 0.902 0.767
0.902 0.534 0.767
0.924 0.924 0.631
0.448 0.448 0.768
0.552 0.552 0.232
0.296 0.296 0.879
0.704 0.704 0.121
```

Summary:
space group	C2/m (12)
density of states at the Fermi level	1.0967	states/eV/atom

Version b
An optimized crystal structure of Cs3SnGe. Source: Alexandria via LeMat-Bulk, functional PBE.

Structure (POSCAR):
```
Cs3SnGe
1.0
7.314 0.000 0.000
0.000 7.314 0.000
0.000 0.000 7.314
Cs Sn Ge
3 1 1
direct
0.000 0.000 0.500
0.000 0.500 0.000
0.500 0.000 0.000
0.000 0.000 0.000
0.500 0.500 0.500
```

Summary:
space group	Pm-3m (221)
density of states at the Fermi level	0.8602	states/eV/atom

Question: which arrangement is favored energetically? Ranking from most to least stable: version a, version b.